The following is a PBE calculation of a relaxed structure of CoHI3, from Alexandria via LeMat-Bulk.

```
data_CoHI3
_symmetry_space_group_name_H-M 'P m -3 m'
_symmetry_Int_Tables_number 221
_symmetry_space_group_name_Hall '-P 4 2 3'
_cell_length_a 5.3764
_cell_length_b 5.3764
_cell_length_c 5.3764
_cell_angle_alpha 90.00
_cell_angle_beta 90.00
_cell_angle_gamma 90.00
loop_
_atom_site_label
_atom_site_type_symbol
_atom_site_fract_x
_atom_site_fract_y
_atom_site_fract_z
Co1 Co 0.0000 0.0000 0.0000
H1 H 0.5000 0.5000 0.5000
I1 I 0.0000 0.0000 0.5000
```

Total energy ... -2.370 eV per atom
Polymorph energy (0 for the lowest one) ... 3.05 eV per formula unit



The following is a PBE calculation of a relaxed structure of TaTiNb14, from Alexandria via LeMat-Bulk.

```
data_TaTiNb14
_symmetry_space_group_name_H-M 'C m m m'
_symmetry_Int_Tables_number 65
_symmetry_space_group_name_Hall '-C 2 2'
_cell_length_a 6.6040
_cell_length_b 9.3646
_cell_length_c 9.3963
_cell_angle_alpha 90.00
_cell_angle_beta 90.00
_cell_angle_gamma 90.00
loop_
_atom_site_label
_atom_site_type_symbol
_atom_site_fract_x
_atom_site_fract_y
_atom_site_fract_z
Ta1 Ta 0.0000 0.0000 0.0000
Ti1 Ti 0.0000 0.5000 0.0000
Nb1 Nb 0.0000 0.0000 0.5000
Nb2 Nb 0.0000 0.2512 0.2449
Nb3 Nb 0.0000 0.5000 0.5000
Nb4 Nb 0.2492 0.0000 0.2517
Nb5 Nb 0.2500 0.2500 0.0000
Nb6 Nb 0.2500 0.2500 0.5000
```

Total energy ... -10.053 eV per atom
Energy of formation from the pure elements ... -8 meV per atom



The following is a PBE calculation of a relaxed structure of K12Ag5Au3, from Alexandria via LeMat-Bulk.

```
data_K12Ag5Au3
_symmetry_space_group_name_H-M 'I a -3 d'
_symmetry_Int_Tables_number 230
_symmetry_space_group_name_Hall '-I 4bd 2c 3'
_cell_length_a 19.8355
_cell_length_b 19.8355
_cell_length_c 19.8355
_cell_angle_alpha 90.00
_cell_angle_beta 90.00
_cell_angle_gamma 90.00
loop_
_atom_site_label
_atom_site_type_symbol
_atom_site_fract_x
_atom_site_fract_y
_atom_site_fract_z
K1 K 0.0197 0.0760 0.6523
Ag1 Ag 0.0000 0.0000 0.0000
Ag2 Ag 0.0000 0.2500 0.3750
Au1 Au 0.0000 0.2500 0.1250
```

Total energy ... -1.803 eV per atom
Energy of formation from the pure elements ... 60 meV per atom



The following is a PBE calculation of a relaxed structure of HfNiH2W, from Alexandria via LeMat-Bulk.

```
data_HfNiH2W
_symmetry_space_group_name_H-M 'P 4/m m m'
_symmetry_Int_Tables_number 123
_symmetry_space_group_name_Hall '-P 4 2'
_cell_length_a 3.5990
_cell_length_b 3.5990
_cell_length_c 4.7193
_cell_angle_alpha 90.00
_cell_angle_beta 90.00
_cell_angle_gamma 90.00
loop_
_atom_site_label
_atom_site_type_symbol
_atom_site_fract_x
_atom_site_fract_y
_atom_site_fract_z
Hf1 Hf 0.0000 0.0000 0.0000
Ni1 Ni 0.5000 0.5000 0.0000
H1 H 0.0000 0.5000 0.5000
W1 W 0.5000 0.5000 0.5000
```

Total energy ... -6.747 eV per atom



The following is a PBE calculation of a relaxed structure of CaAgHg, from Alexandria via LeMat-Bulk.

```
data_CaAgHg
_symmetry_space_group_name_H-M 'F -4 3 m'
_symmetry_Int_Tables_number 216
_symmetry_space_group_name_Hall 'F -4 2 3'
_cell_length_a 6.9185
_cell_length_b 6.9185
_cell_length_c 6.9185
_cell_angle_alpha 90.00
_cell_angle_beta 90.00
_cell_angle_gamma 90.00
loop_
_atom_site_label
_atom_site_type_symbol
_atom_site_fract_x
_atom_site_fract_y
_atom_site_fract_z
Ca1 Ca 0.0000 0.0000 0.0000
Ag1 Ag 0.2500 0.2500 0.7500
Hg1 Hg 0.0000 0.0000 0.5000
```

Total energy ... -1.975 eV per atom
Energy of formation from the pure elements ... -257 meV per atom



The following is a PBE calculation of a relaxed structure of LiGa2Bi2, from Alexandria via LeMat-Bulk.

```
data_LiGa2Bi2
_symmetry_space_group_name_H-M 'P 4/m b m'
_symmetry_Int_Tables_number 127
_symmetry_space_group_name_Hall '-P 4 2ab'
_cell_length_a 8.0509
_cell_length_b 8.0509
_cell_length_c 4.0344
_cell_angle_alpha 90.00
_cell_angle_beta 90.00
_cell_angle_gamma 90.00
loop_
_atom_site_label
_atom_site_type_symbol
_atom_site_fract_x
_atom_site_fract_y
_atom_site_fract_z
Li1 Li 0.0000 0.0000 0.0000
Ga1 Ga 0.1375 0.3625 0.5000
Bi1 Bi 0.1572 0.6572 0.0000
```

Total energy ... -3.147 eV per atom
Energy of formation from the pure elements ... -1 meV per atom
Polymorph energy (0 for the lowest one) ... 0.11 eV per formula unit



The following is a PBE calculation of a relaxed structure of Sb2MoBr, from Alexandria via LeMat-Bulk.

```
data_Sb2MoBr
_symmetry_space_group_name_H-M 'C m m 2'
_symmetry_Int_Tables_number 35
_cell_length_a 3.1378
_cell_length_b 5.6536
_cell_length_c 11.6846
_cell_angle_alpha 90.00
_cell_angle_beta 90.00
_cell_angle_gamma 90.00
loop_
_symmetry_equiv_pos_as_xyz
'x,y,z'
'-x,-y,z'
'-x,y,z'
'x,-y,z'
'x+1/2,y+1/2,z'
'-x+1/2,-y+1/2,z'
'-x+1/2,y+1/2,z'
'x+1/2,-y+1/2,z'
loop_
_atom_site_label
_atom_site_type_symbol
_atom_site_fract_x
_atom_site_fract_y
_atom_site_fract_z
Sb1 Sb 0.0000 0.0000 0.0000
Sb2 Sb 0.0000 0.5000 0.3069
Mo1 Mo 0.0000 0.5000 0.7955
Br1 Br 0.0000 0.0000 0.6232
```

Total energy ... -4.757 eV per atom
Polymorph energy (0 for the lowest one) ... 1.42 eV per formula unit



The following is a PBE calculation of a relaxed structure of BaTeIrN2, from Alexandria via LeMat-Bulk.

```
data_BaTeIrN2
_symmetry_space_group_name_H-M 'P 4/m m m'
_symmetry_Int_Tables_number 123
_symmetry_space_group_name_Hall '-P 4 2'
_cell_length_a 4.2725
_cell_length_b 4.2725
_cell_length_c 5.5589
_cell_angle_alpha 90.00
_cell_angle_beta 90.00
_cell_angle_gamma 90.00
loop_
_atom_site_label
_atom_site_type_symbol
_atom_site_fract_x
_atom_site_fract_y
_atom_site_fract_z
Ba1 Ba 0.0000 0.0000 0.0000
Te1 Te 0.5000 0.5000 0.0000
Ir1 Ir 0.5000 0.5000 0.5000
N1 N 0.0000 0.5000 0.5000
```

Total energy ... -5.426 eV per atom
Polymorph energy (0 for the lowest one) ... 0.00 eV per formula unit



The following is a PBE calculation of a relaxed structure of Pm3SbF, from Alexandria via LeMat-Bulk.

```
data_Pm3SbF
_symmetry_space_group_name_H-M 'P m -3 m'
_symmetry_Int_Tables_number 221
_symmetry_space_group_name_Hall '-P 4 2 3'
_cell_length_a 4.9655
_cell_length_b 4.9655
_cell_length_c 4.9655
_cell_angle_alpha 90.00
_cell_angle_beta 90.00
_cell_angle_gamma 90.00
loop_
_atom_site_label
_atom_site_type_symbol
_atom_site_fract_x
_atom_site_fract_y
_atom_site_fract_z
Pm1 Pm 0.0000 0.0000 0.5000
Sb1 Sb 0.5000 0.5000 0.5000
F1 F 0.0000 0.0000 0.0000
```

Total energy ... -5.288 eV per atom



The following is a PBE calculation of a relaxed structure of Pm3DyPb3, from Alexandria via LeMat-Bulk.

```
data_Pm3DyPb3
_symmetry_space_group_name_H-M 'R -3'
_symmetry_Int_Tables_number 148
_symmetry_space_group_name_Hall '-R 3'
_cell_length_a 9.3591
_cell_length_b 9.3591
_cell_length_c 18.9134
_cell_angle_alpha 90.00
_cell_angle_beta 90.00
_cell_angle_gamma 120.00
loop_
_atom_site_label
_atom_site_type_symbol
_atom_site_fract_x
_atom_site_fract_y
_atom_site_fract_z
Pm1 Pm 0.0058 0.7441 0.0892
Dy1 Dy 0.0000 0.0000 0.3315
Pb1 Pb 0.0008 0.6107 0.9229
```

Total energy ... -4.678 eV per atom
Energy of formation from the pure elements ... -395 meV per atom



The following is a PBE calculation of a relaxed structure of La6Cd2OsN, from Alexandria via LeMat-Bulk.

```
data_La6Cd2OsN
_symmetry_space_group_name_H-M 'P -1'
_symmetry_Int_Tables_number 2
_cell_length_a 7.4652
_cell_length_b 7.4750
_cell_length_c 7.4797
_cell_angle_alpha 61.08
_cell_angle_beta 61.00
_cell_angle_gamma 61.22
loop_
_symmetry_equiv_pos_as_xyz
'x,y,z'
'-x,-y,-z'
loop_
_atom_site_label
_atom_site_type_symbol
_atom_site_fract_x
_atom_site_fract_y
_atom_site_fract_z
La1 La 0.1693 0.3089 0.2605
La2 La 0.2451 0.8267 0.1942
La3 La 0.3047 0.7643 0.6740
Cd1 Cd 0.2449 0.2423 0.7444
Os1 Os 0.5000 0.5000 0.0000
N1 N 0.0000 0.0000 0.5000
```

Total energy ... -5.498 eV per atom



The following is a PBE calculation of a relaxed structure of Lu3Sn5S12, from Alexandria via LeMat-Bulk.

```
data_Lu3Sn5S12
_symmetry_space_group_name_H-M 'I a -3 d'
_symmetry_Int_Tables_number 230
_symmetry_space_group_name_Hall '-I 4bd 2c 3'
_cell_length_a 15.8126
_cell_length_b 15.8126
_cell_length_c 15.8126
_cell_angle_alpha 90.00
_cell_angle_beta 90.00
_cell_angle_gamma 90.00
loop_
_atom_site_label
_atom_site_type_symbol
_atom_site_fract_x
_atom_site_fract_y
_atom_site_fract_z
Lu1 Lu 0.0000 0.2500 0.1250
Sn1 Sn 0.0000 0.0000 0.0000
Sn2 Sn 0.0000 0.2500 0.3750
S1 S 0.0171 0.0690 0.6578
```

Total energy ... -4.991 eV per atom



Among the records above, which one has the highest total energy?
K12Ag5Au3



What is the formula in the sixth record?
LiGa2Bi2



What did the seventh record say?
The following is a PBE calculation of a relaxed structure of Sb2MoBr, from Alexandria via LeMat-Bulk.

```
data_Sb2MoBr
_symmetry_space_group_name_H-M 'C m m 2'
_symmetry_Int_Tables_number 35
_cell_length_a 3.1378
_cell_length_b 5.6536
_cell_length_c 11.6846
_cell_angle_alpha 90.00
_cell_angle_beta 90.00
_cell_angle_gamma 90.00
loop_
_symmetry_equiv_pos_as_xyz
'x,y,z'
'-x,-y,z'
'-x,y,z'
'x,-y,z'
'x+1/2,y+1/2,z'
'-x+1/2,-y+1/2,z'
'-x+1/2,y+1/2,z'
'x+1/2,-y+1/2,z'
loop_
_atom_site_label
_atom_site_type_symbol
_atom_site_fract_x
_atom_site_fract_y
_atom_site_fract_z
Sb1 Sb 0.0000 0.0000 0.0000
Sb2 Sb 0.0000 0.5000 0.3069
Mo1 Mo 0.0000 0.5000 0.7955
Br1 Br 0.0000 0.0000 0.6232
```

Total energy ... -4.757 eV per atom
Polymorph energy (0 for the lowest one) ... 1.42 eV per formula unit